The following is a GGA-PBE calculation of an optimized crystal structure of Pr8AlZn6, from Alexandria.

## Properties
N(E_F) = 0.96 states/eV/atom
Calculated formation energy = -0.12 eV/atom
E_tot = -3.430 eV/atom
Space group = No. 148

Lattice parameters (Å, degrees): 8.093 8.093 8.093 65.94 65.94 65.94
Fractional positions:
Pr 0.129 0.359 0.649
Pr 0.186 0.186 0.186
Pr 0.351 0.871 0.641
Pr 0.359 0.649 0.129
Pr 0.641 0.351 0.871
Pr 0.649 0.129 0.359
Pr 0.814 0.814 0.814
Pr 0.871 0.641 0.351
Al 0.500 0.500 0.500
Zn 0.136 0.788 0.463
Zn 0.212 0.537 0.864
Zn 0.463 0.136 0.788
Zn 0.537 0.864 0.212
Zn 0.788 0.463 0.136
Zn 0.864 0.212 0.537